CaHgSe after structural relaxation. Source: Alexandria, functional PBE.

The calculation puts the energy relative to the elements, uncorrected at -24.38 kcal/mol of atoms. Its density of states at the Fermi level is 0.000 states/eV/atom. The raw total energy comes out at -2.99 eV per atom. Its polymorph energy (0 for the lowest one) is 0.044 eV/atom.

The structure belongs to space group P3m1 (No. 156); the cell edges are 4.3220, 4.3220 and 5.4560 Å and the angles 90.00°, 90.00° and 120.00°. The asymmetric unit holds Ca at (0.0000, 0.0000, 0.0000), Hg at (0.6667, 0.3333, 0.3979) and Se at (0.3333, 0.6667, 0.7466).

=====

Ce3TiO7 after structural relaxation. Source: Alexandria, functional PBE.

The calculation puts the energy relative to the elements, uncorrected at -77.15 kcal/mol of atoms. Its density of states at the Fermi level is 1.299 states/eV/atom. The raw total energy comes out at -8.84 eV per atom.

The structure belongs to space group C222_1 (No. 20); the cell edges are 7.643, 10.729 and 7.586 Å and the angles 90.00°, 90.00° and 90.00°. The asymmetric unit holds Ce at (0.029, 0.000, 0.000), Ce at (0.232, 0.268, 0.757), Ti at (0.009, 0.500, 0.000), O at (0.000, 0.129, 0.250), O at (0.000, 0.136, 0.750), O at (0.000, 0.438, 0.750), O at (0.184, 0.374, 0.037) and O at (0.208, 0.377, 0.477).